No. 1
A relaxed structure of CrCoIr2. Source: Alexandria via LeMat-Bulk, functional PBE.

Output
energy of formation from the pure elements = -0.12 eV/atom
SG = I4/mmm
raw total energy = -8.735 eV per atom

Unit cell a=4.5102 b=4.5102 c=4.5102 alpha=130.31 beta=130.31 gamma=72.91
Last column: nearest neighbours and their distance in Å.
Fractional positions:
1 Cr 0.7500 0.2500 0.5000  8 Ir 2.62, 4 Co 2.68
2 Ir 0.5000 0.5000 0.0000  4 Cr 2.62, 4 Co 2.62, 4 Ir 2.68
3 Ir 0.0000 0.0000 0.0000  4 Co 2.62, 4 Cr 2.62, 4 Ir 2.68
4 Co 0.2500 0.7500 0.5000  8 Ir 2.62, 4 Cr 2.68

No. 2
A relaxed structure of Tc3SnW. Source: Alexandria via LeMat-Bulk, functional PBE.

Output
energy of formation from the pure elements = 2.43 eV/atom
SG = Pm-3m
raw total energy = -7.183 eV per atom

Unit cell a=4.6981 b=4.6981 c=4.6981 alpha=90.00 beta=90.00 gamma=90.00
Last column: nearest neighbours and their distance in Å.
Fractional positions:
1 W 0.5000 0.5000 0.5000  12 Tc 3.32
2 Tc 0.5000 0.0000 0.0000  2 Sn 2.35
3 Tc 0.0000 0.5000 0.0000  2 Sn 2.35
4 Tc 0.0000 0.0000 0.5000  2 Sn 2.35
5 Sn 0.0000 0.0000 0.0000  6 Tc 2.35

No. 3
A relaxed structure of Tb3CeNd6. Source: Alexandria via LeMat-Bulk, functional PBE.

Output
energy of formation from the pure elements = 0.22 eV/atom
SG = P2_1/c
raw total energy = -4.626 eV per atom

Unit cell a=5.6948 b=10.1115 c=12.4776 alpha=90.00 beta=104.54 gamma=90.00
Last column: nearest neighbours and their distance in Å.
Fractional positions:
1 Nd 0.5648 0.1685 0.1453  4 Tb 3.39-3.78, 4 Nd 3.52-3.74, 1 Ce 3.69
2 Nd 0.4352 0.8315 0.8547  4 Tb 3.39-3.78, 4 Nd 3.52-3.74, 1 Ce 3.69
3 Nd 0.1515 0.9990 0.2638  1 Ce 3.19, 2 Tb 3.27-3.53, 1 Nd 3.52
4 Nd 0.3485 0.4990 0.2362  1 Ce 3.19, 2 Tb 3.27-3.53, 1 Nd 3.52
5 Nd 0.9352 0.6685 0.3547  4 Tb 3.39-3.78, 4 Nd 3.52-3.74, 1 Ce 3.69
6 Nd 0.5019 0.1856 0.4995  1 Ce 3.18, 3 Tb 3.40-3.53
7 Nd 0.0019 0.3144 0.9995  1 Ce 3.18, 3 Tb 3.40-3.53
8 Nd 0.8485 0.0010 0.7362  1 Ce 3.19, 2 Tb 3.27-3.53, 1 Nd 3.52
9 Nd 0.4981 0.8144 0.5005  1 Ce 3.18, 3 Tb 3.40-3.53
10 Nd 0.0648 0.3315 0.6453  4 Tb 3.39-3.78, 4 Nd 3.52-3.74, 1 Ce 3.69
11 Nd 0.9981 0.6856 0.0005  1 Ce 3.18, 3 Tb 3.40-3.53
12 Nd 0.6515 0.5010 0.7638  1 Ce 3.19, 2 Tb 3.27-3.53, 1 Nd 3.52
13 Tb 0.5554 0.8330 0.1370  7 Nd 3.39-3.76, 2 Ce 3.61-3.79, 1 Tb 3.75
14 Tb 0.0000 0.0000 0.5000  6 Nd 3.27-3.42
15 Tb 0.9446 0.3330 0.3630  7 Nd 3.39-3.76, 2 Ce 3.61-3.79, 1 Tb 3.75
16 Tb 0.0554 0.6670 0.6370  7 Nd 3.39-3.76, 2 Ce 3.61-3.79, 1 Tb 3.75
17 Tb 0.5000 0.5000 0.0000  6 Nd 3.27-3.42
18 Tb 0.4446 0.1670 0.8630  7 Nd 3.39-3.76, 2 Ce 3.61-3.79, 1 Tb 3.75
19 Ce 0.0000 0.0000 0.0000  4 Nd 3.18-3.19
20 Ce 0.5000 0.5000 0.5000  4 Nd 3.18-3.19

No. 4
A relaxed structure of Y3FePd. Source: Alexandria via LeMat-Bulk, functional PBE.

Output
energy of formation from the pure elements = 0.03 eV/atom
SG = Pm-3m
raw total energy = -6.579 eV per atom

Unit cell a=5.0779 b=5.0779 c=5.0779 alpha=90.00 beta=90.00 gamma=90.00
Last column: nearest neighbours and their distance in Å.
Fractional positions:
1 Y 0.0000 0.5000 0.0000  2 Fe 2.54
2 Y 0.5000 0.0000 0.0000  2 Fe 2.54
3 Y 0.0000 0.0000 0.5000  2 Fe 2.54
4 Fe 0.0000 0.0000 0.0000  6 Y 2.54
5 Pd 0.5000 0.5000 0.5000  12 Y 3.59

Number 1: theoretical density 15.79 g cm⁻³. Number 2: theoretical density 9.55 g cm⁻³. Number 3: theoretical density 7.08 g cm⁻³. Number 4: theoretical density 5.44 g cm⁻³.